The following is a GGA-PBE calculation of CaCe4Th after structural relaxation, from the Alexandria database.

Structure (POSCAR):
```
CaCe4Th
1.0
6.369 0.000 0.000
3.185 5.516 0.000
3.185 1.839 5.201
Ce Th Ca
4 1 1
Direct
0.629 0.629 0.112
0.629 0.629 0.629
0.629 0.112 0.629
0.112 0.629 0.629
0.000 0.000 0.000
0.250 0.250 0.250
```

Summary:
The calculated formation energy is 264 meV/atom. As for the crystal system: cubic. As for the uncorrected energy: -5.26 eV/atom.